No. 1
ScCoAs3 | PBE | relaxed

Cell lengths 4.613, 4.613, 4.613 Å; angles 90.00, 90.00, 90.00 degrees
Space group Pm-3m (No. 221)
Asymmetric unit:
Sc: 0.000 0.000 0.000 [1 per cell]
Co: 0.500 0.500 0.500 [1 per cell]
As: 0.000 0.500 0.500 [3 per cell]

Properties
For the density, the calculation gives 5.6 Mg/m³. The formation energy comes out at 0.220 eV per formula unit. The calculation puts the total energy at -5.433 eV per atom. The total magnetization is 0.070 μB/atom.

***

No. 2
ScCoAs | PBE | relaxed

Cell lengths 3.112, 3.112, 9.694 Å; angles 90.00, 90.00, 90.00 degrees
Space group I4mm (No. 107)
Asymmetric unit:
Sc: 0.000 0.000 0.000 [2 per cell]
Co: 0.000 0.000 0.314 [2 per cell]
As: 0.000 0.000 0.703 [2 per cell]

Properties
For the density, the calculation gives 6.3 Mg/m³. The formation energy comes out at -1.229 eV per formula unit. The calculation puts the total energy at -6.439 eV per atom. The total magnetization is 0.090 μB/atom.

***

No. 3
Sc8Co2As | PBE | relaxed

Cell lengths 7.669, 11.493, 5.547 Å; angles 90.00, 108.31, 90.00 degrees
Space group Cm (No. 8)
Asymmetric unit:
Sc: 0.000 0.000 0.000 [2 per cell]
Sc: 0.074 0.367 0.782 [4 per cell]
Sc: 0.156 0.135 0.579 [4 per cell]
Sc: 0.243 0.500 0.381 [2 per cell]
Sc: 0.365 0.226 0.182 [4 per cell]
Co: 0.369 0.313 0.698 [4 per cell]
As: 0.369 0.000 0.361 [2 per cell]

Properties
For the density, the calculation gives 4.0 Mg/m³. The formation energy comes out at -3.346 eV per formula unit. The calculation puts the total energy at -6.624 eV per atom. The total magnetization is 0.000 μB/atom.

***

No. 4
ScCo2As | PBE | relaxed

Cell lengths 3.9656, 3.9656, 13.4391 Å; angles 90.00, 90.00, 120.00 degrees
Space group R3m (No. 160, hexagonal axes)
Asymmetric unit:
Sc: 0.0000 0.0000 0.0000 [3 per cell]
Co: 0.0000 0.0000 0.2052 [3 per cell]
Co: 0.0000 0.0000 0.5199 [3 per cell]
As: 0.0000 0.0000 0.7917 [3 per cell]

Properties
For the density, the calculation gives 6.5 Mg/m³. The formation energy comes out at -1.549 eV per formula unit. The calculation puts the total energy at -6.686 eV per atom. The total magnetization is 0.399 μB/atom.

***

No. 5
ScCoAs3 | PBE | relaxed

Cell lengths 5.033, 5.033, 5.033 Å; angles 90.00, 90.00, 90.00 degrees
Space group Pm-3m (No. 221)
Asymmetric unit:
Sc: 0.000 0.000 0.000 [1 per cell]
Co: 0.500 0.500 0.500 [1 per cell]
As: 0.000 0.000 0.500 [3 per cell]

Properties
For the density, the calculation gives 4.3 Mg/m³. The formation energy comes out at 3.900 eV per formula unit. The calculation puts the total energy at -4.697 eV per atom. The total magnetization is 0.397 μB/atom.

***

No. 6
ScCo2As | PBE | relaxed

Cell lengths 8.528, 3.364, 4.092 Å; angles 90.00, 108.62, 90.00 degrees
Space group Cm (No. 8)
Asymmetric unit:
Sc: 0.000 0.000 0.000 [2 per cell]
Co: 0.020 0.500 0.537 [2 per cell]
Co: 0.255 0.500 0.227 [2 per cell]
As: 0.239 0.000 0.642 [2 per cell]

Properties
For the density, the calculation gives 7.1 Mg/m³. The formation energy comes out at -1.287 eV per formula unit. The calculation puts the total energy at -6.620 eV per atom. The total magnetization is 0.090 μB/atom.

***

No. 7
Sc5Co2As | PBE | relaxed

Cell lengths 6.750, 6.750, 13.087 Å; angles 90.00, 90.00, 90.00 degrees
Space group I4/mcm (No. 140)
Asymmetric unit:
Sc: 0.000 0.000 0.000 [4 per cell]
Sc: 0.166 0.334 0.141 [16 per cell]
Co: 0.128 0.372 0.500 [8 per cell]
As: 0.000 0.000 0.250 [4 per cell]

Properties
For the density, the calculation gives 4.7 Mg/m³. The formation energy comes out at -4.359 eV per formula unit. The calculation puts the total energy at -6.860 eV per atom. The total magnetization is 0.000 μB/atom.

***

No. 8
ScCo2As | PBE | relaxed

Cell lengths 3.144, 3.468, 5.182 Å; angles 90.00, 90.00, 90.00 degrees
Space group Pmm2 (No. 25)
Asymmetric unit:
Sc: 0.000 0.000 0.000 [1 per cell]
Co: 0.000 0.000 0.494 [1 per cell]
Co: 0.500 0.500 0.779 [1 per cell]
As: 0.500 0.500 0.330 [1 per cell]

Properties
For the density, the calculation gives 7.0 Mg/m³. The formation energy comes out at -0.883 eV per formula unit. The calculation puts the total energy at -6.519 eV per atom. The total magnetization is 0.070 μB/atom.

***

No. 9
ScCo2As | PBE | relaxed

Cell lengths 3.181, 3.884, 4.985 Å; angles 90.00, 90.00, 90.00 degrees
Space group Pmmm (No. 47)
Asymmetric unit:
Sc: 0.000 0.000 0.000 [1 per cell]
Co: 0.500 0.500 0.238 [2 per cell]
As: 0.500 0.000 0.500 [1 per cell]

Properties
For the density, the calculation gives 6.4 Mg/m³. The formation energy comes out at -1.044 eV per formula unit. The calculation puts the total energy at -6.559 eV per atom. The total magnetization is 0.437 μB/atom.

***

No. 10
ScCo2As | PBE | relaxed

Cell lengths 5.441, 8.369, 2.937 Å; angles 90.00, 120.73, 90.00 degrees
Space group C2/m (No. 12)
Asymmetric unit:
Sc: 0.000 0.000 0.000 [2 per cell]
Co: 0.250 0.250 0.500 [4 per cell]
As: 0.000 0.500 0.000 [2 per cell]

Properties
For the density, the calculation gives 6.9 Mg/m³. The formation energy comes out at -0.388 eV per formula unit. The calculation puts the total energy at -6.395 eV per atom. The total magnetization is 0.486 μB/atom.

***

No. 11
ScCoAsSe2 | PBE | relaxed

Cell lengths 5.080, 5.080, 5.112 Å; angles 90.00, 90.00, 90.00 degrees
Space group P4/mmm (No. 123)
Asymmetric unit:
Sc: 0.000 0.000 0.000 [1 per cell]
Co: 0.500 0.500 0.500 [1 per cell]
As: 0.000 0.000 0.500 [1 per cell]
Se: 0.000 0.500 0.000 [2 per cell]

Properties
For the density, the calculation gives 4.2 Mg/m³. The calculation puts the total energy at -4.596 eV per atom. The total magnetization is 0.527 μB/atom.

***

No. 12
ScCoAs2Se | PBE | relaxed

Cell lengths 4.442, 4.442, 5.106 Å; angles 90.00, 90.00, 90.00 degrees
Space group P4/mmm (No. 123)
Asymmetric unit:
Sc: 0.000 0.000 0.000 [1 per cell]
Co: 0.500 0.500 0.500 [1 per cell]
As: 0.000 0.500 0.500 [2 per cell]
Se: 0.500 0.500 0.000 [1 per cell]

Properties
For the density, the calculation gives 5.5 Mg/m³. The calculation puts the total energy at -5.328 eV per atom. The total magnetization is 0.001 μB/atom.